FeIrOsRh (PBE, optimized geometry); formation energy from the elements = 14 kJ/mol of atoms
1.0
2.696 0.000 -0.007
0.000 4.176 0.000
-1.334 0.000 5.036
Fe Ir Os Rh
1 1 1 1
Direct
0.347 0.000 0.627
0.601 0.000 0.133
0.007 0.500 0.943
0.753 0.500 0.436